C | PBE | optimized geometry

Computed properties:
The calculation puts the energy above the most stable polymorph in this dataset at 27.8 kJ/mol of atoms. The mass density is 3.35 g/cm3.

Structure (CIF):
```
data_C
_chemical_formula_sum 'C16'
_space_group_name_H-M_alt 'P n m a'
_space_group_IT_number 62
_space_group_name_Hall '-P 2ac 2n'
_cell_length_a 9.087
_cell_length_b 2.526
_cell_length_c 4.156
_cell_angle_alpha 90.00
_cell_angle_beta 90.00
_cell_angle_gamma 90.00
loop_
_atom_site_label
_atom_site_fract_x
_atom_site_fract_y
_atom_site_fract_z
C1 0.021 0.250 0.092
C2 0.037 0.750 0.569
C3 0.190 0.250 0.200
C4 0.195 0.750 0.426
```

---

CaC | PBE | optimized geometry

Computed properties:
The calculation puts the energy above the most stable polymorph in this dataset at 28.7 kJ/mol of atoms. The mass density is 2.53 g/cm3.

Structure (CIF):
```
data_CaC
_chemical_formula_sum 'Ca6 C6'
_space_group_name_H-M_alt 'C 1 m 1'
_space_group_IT_number 8
_space_group_name_Hall 'C -2y'
_cell_length_a 15.429
_cell_length_b 3.412
_cell_length_c 3.924
_cell_angle_alpha 90.00
_cell_angle_beta 97.01
_cell_angle_gamma 90.00
loop_
_atom_site_label
_atom_site_fract_x
_atom_site_fract_y
_atom_site_fract_z
Ca1 0.000 0.000 0.000
Ca2 0.141 0.500 0.554
Ca3 0.339 0.500 0.429
C1 0.194 0.000 0.087
C2 0.255 0.000 0.890
C3 0.478 0.000 0.485
```

---

CaC3 | PBE | optimized geometry

Computed properties:
The calculation puts the energy above the most stable polymorph in this dataset at 232.6 kJ/mol of atoms. The mass density is 2.78 g/cm3.

Structure (CIF):
```
data_CaC3
_chemical_formula_sum 'Ca2 C6'
_space_group_name_H-M_alt 'P m -3 n'
_space_group_IT_number 223
_space_group_name_Hall '-P 4n 2 3'
_cell_length_a 4.495
_cell_length_b 4.495
_cell_length_c 4.495
_cell_angle_alpha 90.00
_cell_angle_beta 90.00
_cell_angle_gamma 90.00
loop_
_atom_site_label
_atom_site_fract_x
_atom_site_fract_y
_atom_site_fract_z
Ca1 0.000 0.000 0.000
C1 0.000 0.250 0.500
```

---

CaC2 | PBE | optimized geometry

Computed properties:
The calculation puts the energy above the most stable polymorph in this dataset at 215.0 kJ/mol of atoms. The mass density is 2.72 g/cm3.

Structure (CIF):
```
data_CaC2
_chemical_formula_sum 'Ca2 C4'
_space_group_name_H-M_alt 'P 63/m m c'
_space_group_IT_number 194
_space_group_name_Hall '-P 6c 2c'
_cell_length_a 4.1894
_cell_length_b 4.1894
_cell_length_c 5.1503
_cell_angle_alpha 90.00
_cell_angle_beta 90.00
_cell_angle_gamma 120.00
loop_
_atom_site_label
_atom_site_fract_x
_atom_site_fract_y
_atom_site_fract_z
Ca1 0.3333 0.6667 0.2500
C1 0.0000 0.0000 0.0000
C2 0.3333 0.6667 0.7500
```

---

Ca2C3 | PBE | optimized geometry

Computed properties:
The calculation puts the energy above the most stable polymorph in this dataset at 0.0 kJ/mol of atoms. The mass density is 2.35 g/cm3.

Structure (CIF):
```
data_Ca2C3
_chemical_formula_sum 'Ca16 C24'
_space_group_name_H-M_alt 'F d d 2'
_space_group_IT_number 43
_space_group_name_Hall 'F 2 -2d'
_cell_length_a 11.909
_cell_length_b 14.117
_cell_length_c 3.911
_cell_angle_alpha 90.00
_cell_angle_beta 90.00
_cell_angle_gamma 90.00
loop_
_atom_site_label
_atom_site_fract_x
_atom_site_fract_y
_atom_site_fract_z
Ca1 0.045 0.340 0.000
C1 0.000 0.000 0.239
C2 0.112 0.005 0.259
```

---

CaC3 | PBE | optimized geometry

Computed properties:
The calculation puts the energy above the most stable polymorph in this dataset at 227.8 kJ/mol of atoms. The mass density is 2.75 g/cm3.

Structure (CIF):
```
data_CaC3
_chemical_formula_sum 'Ca4 C12'
_space_group_name_H-M_alt 'F m -3 m'
_space_group_IT_number 225
_space_group_name_Hall '-F 4 2 3'
_cell_length_a 5.684
_cell_length_b 5.684
_cell_length_c 5.684
_cell_angle_alpha 90.00
_cell_angle_beta 90.00
_cell_angle_gamma 90.00
loop_
_atom_site_label
_atom_site_fract_x
_atom_site_fract_y
_atom_site_fract_z
Ca1 0.000 0.000 0.000
C1 0.000 0.000 0.500
C2 0.250 0.250 0.250
```

---

CaC2 | PBE | optimized geometry

Computed properties:
The calculation puts the energy above the most stable polymorph in this dataset at 44.7 kJ/mol of atoms. The mass density is 0.98 g/cm3.

Structure (CIF):
```
data_CaC2
_chemical_formula_sum 'Ca1 C2'
_space_group_name_H-M_alt 'P -6 m 2'
_space_group_IT_number 187
_space_group_name_Hall 'P -6 2'
_cell_length_a 4.3223
_cell_length_b 4.3223
_cell_length_c 6.7353
_cell_angle_alpha 90.00
_cell_angle_beta 90.00
_cell_angle_gamma 120.00
loop_
_atom_site_label
_atom_site_fract_x
_atom_site_fract_y
_atom_site_fract_z
Ca1 0.0000 0.0000 0.0000
C1 0.3333 0.6667 0.0940
```

---

CaC2 | PBE | optimized geometry

Computed properties:
The calculation puts the energy above the most stable polymorph in this dataset at 22.5 kJ/mol of atoms. The mass density is 2.05 g/cm3.

Structure (CIF):
```
data_CaC2
_chemical_formula_sum 'Ca2 C4'
_space_group_name_H-M_alt 'P 63/m m c'
_space_group_IT_number 194
_space_group_name_Hall '-P 6c 2c'
_cell_length_a 3.7136
_cell_length_b 3.7136
_cell_length_c 8.7042
_cell_angle_alpha 90.00
_cell_angle_beta 90.00
_cell_angle_gamma 120.00
loop_
_atom_site_label
_atom_site_fract_x
_atom_site_fract_y
_atom_site_fract_z
Ca1 0.3333 0.6667 0.2500
C1 0.0000 0.0000 0.0720
```

---

ΔH_f (0 K), respectively: 288; 296; 2932; 2243; -13; 2883; 478; 248 meV per atom.